Record 1
# AlCuIN2

Crystalline AlCuIN2 at its relaxed geometry (PBE-GGA, Alexandria via LeMat-Bulk).

Values from the calculation:
formation energy without anion corrections	1556	meV per atom
DOS(E_F)	0.556	states/eV per atom
distance to the lowest polymorph of the same formula	783.4	meV/atom
E	-3.652	eV/atom
mass density	4.4	Mg/m³
space-group type	P4/mmm (123)

The structure in extended XYZ format:
```
5
Lattice="3.965 0.000 0.000 0.000 3.965 0.000 0.000 0.000 5.888" Properties=species:S:1:pos:R:3 pbc="T T T"
I 0.000 0.000 2.944
Al 1.982 1.982 2.944
Cu 0.000 0.000 0.000
N 0.000 1.982 0.000
N 1.982 0.000 0.000
```

---

Record 2
# AlCuIO2

Crystalline AlCuIO2 at its relaxed geometry (PBE-GGA, Alexandria via LeMat-Bulk).

Values from the calculation:
formation energy without anion corrections	-936	meV per atom
DOS(E_F)	0.548	states/eV per atom
distance to the lowest polymorph of the same formula	0.0	meV/atom
E	-4.797	eV/atom
mass density	4.7	Mg/m³
space-group type	P4/mmm (123)

The structure in extended XYZ format:
```
5
Lattice="3.642 0.000 0.000 0.000 3.642 0.000 0.000 0.000 6.576" Properties=species:S:1:pos:R:3 pbc="T T T"
I 0.000 0.000 3.288
O 0.000 1.821 0.000
O 1.821 0.000 0.000
Al 0.000 0.000 0.000
Cu 1.821 1.821 3.288
```

---

Record 3
# AlCuIO2

Crystalline AlCuIO2 at its relaxed geometry (PBE-GGA, Alexandria via LeMat-Bulk).

Values from the calculation:
formation energy without anion corrections	238	meV per atom
DOS(E_F)	0.753	states/eV per atom
distance to the lowest polymorph of the same formula	1174.0	meV/atom
E	-3.623	eV/atom
mass density	5.1	Mg/m³
space-group type	P4/mmm (123)

The structure in extended XYZ format:
```
5
Lattice="-3.823 -0.916 0.081 0.767 -3.366 -1.882 0.674 -2.405 4.575" Properties=species:S:1:pos:R:3 pbc="T T T"
I 0.337 -1.202 2.287
O 0.383 -1.683 -0.941
O -1.911 -0.458 0.041
Al -1.191 -3.343 1.387
Cu 0.000 0.000 0.000
```

---

Record 4
# RbAl2CuI8

Crystalline RbAl2CuI8 at its relaxed geometry (PBE-GGA, Alexandria via LeMat-Bulk).

Values from the calculation:
formation energy without anion corrections	-688	meV per atom
DOS(E_F)	0.000	states/eV per atom
E	-2.767	eV/atom
mass density	4.1	Mg/m³
space-group type	P-3 (147)

The structure in extended XYZ format:
```
12
Lattice="-6.030 3.922 1.719 0.608 -3.109 -6.683 -4.617 -8.685 3.620" Properties=species:S:1:pos:R:3 pbc="T T T"
Rb 0.000 0.000 0.000
Al -5.017 -0.678 -0.141
Al -5.022 -7.193 -1.203
Cu -2.309 -4.343 1.810
I -6.151 -9.317 -0.318
I -3.293 -2.599 -0.298
I -5.706 -0.229 2.310
I -3.888 1.445 -1.026
I -4.333 -7.643 -3.654
I -6.746 -5.273 -1.046
I -2.960 -6.731 0.285
I -7.080 -1.140 -1.629
```

---

Record 5
# Rb2AlCuI6

Crystalline Rb2AlCuI6 at its relaxed geometry (PBE-GGA, Alexandria via LeMat-Bulk).

Values from the calculation:
formation energy without anion corrections	-775	meV per atom
DOS(E_F)	0.018	states/eV per atom
E	-2.683	eV/atom
mass density	4.5	Mg/m³
space-group type	I4/mmm (139)

The structure in extended XYZ format:
```
10
Lattice="7.998 0.000 0.000 0.000 7.998 0.000 3.999 3.999 5.912" Properties=species:S:1:pos:R:3 pbc="T T T"
I 3.999 3.999 2.732
I 7.998 7.998 3.180
I 1.970 1.970 0.000
I 6.028 6.028 0.000
I 6.028 1.970 0.000
I 1.970 6.028 0.000
Cu 0.000 0.000 0.000
Rb 7.998 3.999 2.956
Rb 3.999 7.998 2.956
Al 3.999 3.999 0.000
```

---

Record 6
# AlCuSb2I

Crystalline AlCuSb2I at its relaxed geometry (PBE-GGA, Alexandria via LeMat-Bulk).

Values from the calculation:
formation energy without anion corrections	553	meV per atom
DOS(E_F)	1.027	states/eV per atom
distance to the lowest polymorph of the same formula	0.0	meV/atom
E	-2.974	eV/atom
mass density	5.2	Mg/m³
space-group type	P4/mmm (123)

The structure in extended XYZ format:
```
5
Lattice="-0.646 -4.983 -0.310 4.630 -0.715 1.843 -2.152 -0.056 5.385" Properties=species:S:1:pos:R:3 pbc="T T T"
I -1.076 -0.028 2.692
Sb 2.315 -0.357 0.921
Sb -0.323 -2.492 -0.155
Al 0.916 -2.877 3.459
Cu 0.000 0.000 0.000
```